# Ba2SnTePd6, relaxed, DFT PBE-GGA
# calculated total energy	-4.83	eV/atom
# magnetic moment	0.00	μB/cell
# SG	C2/m
data_Ba2SnTePd6
_chemical_formula_sum 'Ba2 Sn1 Te1 Pd6'
_cell_length_a 7.1205
_cell_length_b 7.1205
_cell_length_c 8.9031
_cell_angle_alpha 128.13
_cell_angle_beta 128.13
_cell_angle_gamma 48.03
_space_group_name_H-M_alt 'P 1'
_space_group_IT_number 1
loop_
_space_group_symop_operation_xyz
'x,y,z'
loop_
_atom_site_label
_atom_site_fract_x
_atom_site_fract_y
_atom_site_fract_z
Ba1 0.2483 0.2483 0.2118
Ba2 0.7517 0.7517 0.7882
Sn1 0.0000 0.0000 0.5000
Te1 0.5000 0.5000 0.0000
Pd1 0.2295 0.7304 0.7278
Pd2 0.2480 0.2480 0.5998
Pd3 0.2696 0.7705 0.2722
Pd4 0.7304 0.2295 0.7278
Pd5 0.7520 0.7520 0.4002
Pd6 0.7705 0.2696 0.2722

# ZnAgRh, relaxed, DFT PBE-GGA
# energy above the lowest structure with this stoichiometry	241	meV/atom
# calculated total energy	-3.66	eV/atom
# magnetic moment	0.00	μB/cell
# formation energy	0.1632	eV/atom
# SG	F-43m
data_ZnAgRh
_chemical_formula_sum 'Zn1 Ag1 Rh1'
_cell_length_a 4.1834
_cell_length_b 4.1834
_cell_length_c 4.1834
_cell_angle_alpha 60.00
_cell_angle_beta 60.00
_cell_angle_gamma 60.00
_space_group_name_H-M_alt 'P 1'
_space_group_IT_number 1
loop_
_space_group_symop_operation_xyz
'x,y,z'
loop_
_atom_site_label
_atom_site_fract_x
_atom_site_fract_y
_atom_site_fract_z
Zn1 0.0000 0.0000 0.0000
Ag1 0.2500 0.2500 0.2500
Rh1 0.7500 0.7500 0.7500

# Hf2MgAl, relaxed, DFT PBE-GGA
# calculated total energy	-6.40	eV/atom
# magnetic moment	0.00	μB/cell
# formation energy	-0.0929	eV/atom
# SG	P4/mmm
data_Hf2MgAl
_chemical_formula_sum 'Hf2 Mg1 Al1'
_cell_length_a 4.3395
_cell_length_b 4.3395
_cell_length_c 4.2546
_cell_angle_alpha 90.00
_cell_angle_beta 90.00
_cell_angle_gamma 90.00
_space_group_name_H-M_alt 'P 1'
_space_group_IT_number 1
loop_
_space_group_symop_operation_xyz
'x,y,z'
loop_
_atom_site_label
_atom_site_fract_x
_atom_site_fract_y
_atom_site_fract_z
Hf1 0.0000 0.5000 0.0000
Hf2 0.5000 0.0000 0.0000
Mg1 0.0000 0.0000 0.5000
Al1 0.5000 0.5000 0.5000

# Ba2MgIr, relaxed, DFT PBE-GGA
# calculated total energy	-3.64	eV/atom
# magnetic moment	0.00	μB/cell
# formation energy	-0.0692	eV/atom
# SG	Pm
data_Ba2MgIr
_chemical_formula_sum 'Ba2 Mg1 Ir1'
_cell_length_a 4.8183
_cell_length_b 4.6974
_cell_length_c 6.6539
_cell_angle_alpha 90.00
_cell_angle_beta 111.13
_cell_angle_gamma 90.00
_space_group_name_H-M_alt 'P 1'
_space_group_IT_number 1
loop_
_space_group_symop_operation_xyz
'x,y,z'
loop_
_atom_site_label
_atom_site_fract_x
_atom_site_fract_y
_atom_site_fract_z
Ba1 0.0000 0.0000 0.0000
Ba2 0.2767 0.5000 0.5546
Mg1 0.5877 0.5000 0.1749
Ir1 0.6850 0.0000 0.3698

# SrIr2Rh, relaxed, DFT PBE-GGA
# energy above the lowest structure with this stoichiometry	399	meV/atom
# calculated total energy	-6.10	eV/atom
# magnetic moment	0.00	μB/cell
# formation energy	0.5902	eV/atom
# SG	R-3m
data_SrIr2Rh
_chemical_formula_sum 'Sr1 Ir2 Rh1'
_cell_length_a 9.8327
_cell_length_b 9.8327
_cell_length_c 9.8327
_cell_angle_alpha 16.73
_cell_angle_beta 16.73
_cell_angle_gamma 16.73
_space_group_name_H-M_alt 'P 1'
_space_group_IT_number 1
loop_
_space_group_symop_operation_xyz
'x,y,z'
loop_
_atom_site_label
_atom_site_fract_x
_atom_site_fract_y
_atom_site_fract_z
Sr1 0.0000 0.0000 0.0000
Ir1 0.2405 0.2405 0.2405
Ir2 0.7595 0.7595 0.7595
Rh1 0.5000 0.5000 0.5000

# CaTl2Cd2Hg5, relaxed, DFT PBE-GGA
# calculated total energy	-1.13	eV/atom
# magnetic moment	0.00	μB/cell
# formation energy	-0.1248	eV/atom
# SG	P4/mbm
data_CaTl2Cd2Hg5
_chemical_formula_sum 'Ca2 Tl4 Cd4 Hg10'
_cell_length_a 11.2080
_cell_length_b 11.2080
_cell_length_c 4.3497
_cell_angle_alpha 90.00
_cell_angle_beta 90.00
_cell_angle_gamma 90.00
_space_group_name_H-M_alt 'P 1'
_space_group_IT_number 1
loop_
_space_group_symop_operation_xyz
'x,y,z'
loop_
_atom_site_label
_atom_site_fract_x
_atom_site_fract_y
_atom_site_fract_z
Ca1 0.0000 0.0000 0.0000
Ca2 0.5000 0.5000 0.0000
Tl1 0.1706 0.3294 0.0000
Tl2 0.3294 0.8294 0.0000
Tl3 0.6706 0.1706 0.0000
Tl4 0.8294 0.6706 0.0000
Cd1 0.1363 0.6363 0.0000
Cd2 0.3637 0.1363 0.0000
Cd3 0.6363 0.8637 0.0000
Cd4 0.8637 0.3637 0.0000
Hg1 0.0000 0.5000 0.5000
Hg2 0.0237 0.7919 0.5000
Hg3 0.2081 0.0237 0.5000
Hg4 0.2919 0.5237 0.5000
Hg5 0.4763 0.2919 0.5000
Hg6 0.5000 0.0000 0.5000
Hg7 0.5237 0.7081 0.5000
Hg8 0.7081 0.4763 0.5000
Hg9 0.7919 0.9763 0.5000
Hg10 0.9763 0.2081 0.5000

# LiCo2Au2, relaxed, DFT PBE-GGA
# energy above the lowest structure with this stoichiometry	15	meV/atom
# calculated total energy	-4.45	eV/atom
# magnetic moment	6.97	μB/cell
# formation energy	0.0894	eV/atom
# SG	P4/mbm
data_LiCo2Au2
_chemical_formula_sum 'Li2 Co4 Au4'
_cell_length_a 7.6042
_cell_length_b 7.6042
_cell_length_c 2.7238
_cell_angle_alpha 90.00
_cell_angle_beta 90.00
_cell_angle_gamma 90.00
_space_group_name_H-M_alt 'P 1'
_space_group_IT_number 1
loop_
_space_group_symop_operation_xyz
'x,y,z'
loop_
_atom_site_label
_atom_site_fract_x
_atom_site_fract_y
_atom_site_fract_z
Li1 0.0000 0.0000 0.0000
Li2 0.5000 0.5000 0.0000
Co1 0.1048 0.3952 0.0000
Co2 0.3952 0.8952 0.0000
Co3 0.6048 0.1048 0.0000
Co4 0.8952 0.6048 0.0000
Au1 0.1903 0.6903 0.5000
Au2 0.3097 0.1903 0.5000
Au3 0.6903 0.8097 0.5000
Au4 0.8097 0.3097 0.5000

# NbCdGaB2, relaxed, DFT PBE-GGA
# calculated total energy	-4.20	eV/atom
# magnetic moment	0.00	μB/cell
# formation energy	1.2721	eV/atom
# SG	P4/mmm
data_NbCdGaB2
_chemical_formula_sum 'Nb1 Cd1 Ga1 B2'
_cell_length_a 4.2976
_cell_length_b 4.2976
_cell_length_c 5.5371
_cell_angle_alpha 90.00
_cell_angle_beta 90.00
_cell_angle_gamma 90.00
_space_group_name_H-M_alt 'P 1'
_space_group_IT_number 1
loop_
_space_group_symop_operation_xyz
'x,y,z'
loop_
_atom_site_label
_atom_site_fract_x
_atom_site_fract_y
_atom_site_fract_z
Nb1 0.0000 0.0000 0.0000
Cd1 0.0000 0.0000 0.5000
Ga1 0.5000 0.5000 0.5000
B1 0.0000 0.5000 0.0000
B2 0.5000 0.0000 0.0000

# ScCrFeW, relaxed, DFT PBE-GGA
# calculated total energy	-9.24	eV/atom
# magnetic moment	0.63	μB/cell
# formation energy	0.0998	eV/atom
# SG	F-43m
data_ScCrFeW
_chemical_formula_sum 'Sc1 Cr1 Fe1 W1'
_cell_length_a 4.3212
_cell_length_b 4.3212
_cell_length_c 4.3212
_cell_angle_alpha 60.00
_cell_angle_beta 60.00
_cell_angle_gamma 60.00
_space_group_name_H-M_alt 'P 1'
_space_group_IT_number 1
loop_
_space_group_symop_operation_xyz
'x,y,z'
loop_
_atom_site_label
_atom_site_fract_x
_atom_site_fract_y
_atom_site_fract_z
Sc1 0.0000 0.0000 0.0000
Cr1 0.2500 0.2500 0.2500
Fe1 0.7500 0.7500 0.7500
W1 0.5000 0.5000 0.5000

# MgIn3O4, relaxed, DFT PBE-GGA
# calculated total energy	-5.09	eV/atom
# magnetic moment	0.00	μB/cell
# SG	I-42m
data_MgIn3O4
_chemical_formula_sum 'Mg1 In3 O4'
_cell_length_a 6.1924
_cell_length_b 6.1924
_cell_length_c 6.1924
_cell_angle_alpha 131.12
_cell_angle_beta 131.12
_cell_angle_gamma 71.62
_space_group_name_H-M_alt 'P 1'
_space_group_IT_number 1
loop_
_space_group_symop_operation_xyz
'x,y,z'
loop_
_atom_site_label
_atom_site_fract_x
_atom_site_fract_y
_atom_site_fract_z
Mg1 0.0000 0.0000 0.0000
In1 0.2500 0.7500 0.5000
In2 0.5000 0.5000 0.0000
In3 0.7500 0.2500 0.5000
O1 0.0908 0.0908 0.4356
O2 0.3447 0.9092 0.0000
O3 0.6553 0.6553 0.5644
O4 0.9092 0.3447 0.0000

# CeGe2Ru2Pt, relaxed, DFT PBE-GGA
# calculated total energy	-6.53	eV/atom
# magnetic moment	0.56	μB/cell
# formation energy	0.0962	eV/atom
# SG	P4/mmm
data_CeGe2Ru2Pt
_chemical_formula_sum 'Ce1 Ge2 Ru2 Pt1'
_cell_length_a 4.7619
_cell_length_b 4.7619
_cell_length_c 5.3129
_cell_angle_alpha 90.00
_cell_angle_beta 90.00
_cell_angle_gamma 90.00
_space_group_name_H-M_alt 'P 1'
_space_group_IT_number 1
loop_
_space_group_symop_operation_xyz
'x,y,z'
loop_
_atom_site_label
_atom_site_fract_x
_atom_site_fract_y
_atom_site_fract_z
Ce1 0.0000 0.0000 0.0000
Ge1 0.0000 0.5000 0.5000
Ge2 0.5000 0.0000 0.5000
Ru1 0.5000 0.5000 0.2394
Ru2 0.5000 0.5000 0.7606
Pt1 0.0000 0.0000 0.5000